A geometry-optimized LaPmB4 structure, computed with PBE.

POSCAR file:
```
LaPmB4
1.0
3.316 0.000 0.000
-1.658 2.872 0.000
0.000 0.000 8.378
B La Pm
4 1 1
Direct
0.667 0.333 0.258
0.333 0.667 0.258
0.667 0.333 0.742
0.333 0.667 0.742
0.000 0.000 0.000
0.000 0.000 0.500
```

A geometry-optimized TaN structure, computed with PBE.

POSCAR file:
```
TaN
1.0
2.204 -2.204 0.000
-2.204 0.000 -2.204
2.204 2.204 0.000
N Ta
1 1
Direct
0.000 0.000 0.000
0.500 0.000 0.500
```

A geometry-optimized PrNd2Sn3Ir2Pd structure, computed with PBE.

POSCAR file:
```
PrNd2Sn3Ir2Pd
1.0
-1.831 0.711 -3.663
-1.931 -7.308 -0.453
-4.676 4.959 3.300
Ir Nd Pd Pr Sn
2 2 1 1 3
Direct
0.500 0.668 0.333
0.500 0.333 0.668
0.000 0.586 0.000
0.000 0.000 0.586
0.000 0.999 0.999
0.000 0.414 0.414
0.500 0.999 0.256
0.500 0.744 0.744
0.500 0.256 0.999
```

no.,E_tot (eV/atom)
1,-6.35
2,-10.94
3,-6.27